Material: TiRhBr2
Method: DFT, GGA-PBE
State: relaxed

Results
Relative energy among the computed polymorphs, meV/atom: 0
E_form (uncorrected), eV/atom: -0.03
Symmetry: No. 122

a b c (Å): 4.625 4.625 15.749
angles (deg): 90.00 90.00 90.00
Fractional coordinates of all 16 atoms:
1 Ti 0.000 0.000 0.000
2 Ti 0.000 0.500 0.250
3 Ti 0.500 0.000 0.750
4 Ti 0.500 0.500 0.500
5 Rh 0.000 0.000 0.500
6 Rh 0.000 0.500 0.750
7 Rh 0.500 0.000 0.250
8 Rh 0.500 0.500 0.000
9 Br 0.250 0.250 0.125
10 Br 0.250 0.250 0.625
11 Br 0.250 0.750 0.375
12 Br 0.250 0.750 0.875
13 Br 0.750 0.250 0.375
14 Br 0.750 0.250 0.875
15 Br 0.750 0.750 0.125
16 Br 0.750 0.750 0.625